# 1
Material: ZrSc4Tc
Method: DFT, GGA-PBE
State: relaxed

Geometry as POSCAR:
```
ZrSc4Tc
1.0
0.000 4.004 4.004
4.004 0.000 4.004
4.004 4.004 0.000
Zr Sc Tc
1 4 1
Cartesian
0.000 0.000 0.000 Zr
3.010 4.999 4.999 Sc
4.999 4.999 3.010 Sc
4.999 3.010 4.999 Sc
3.010 3.010 3.010 Sc
6.006 6.006 6.006 Tc
```

Computed properties:
* E: -6.87 eV/atom
* E above lowest polymorph: 589.1 meV per atom
* E_form: 0.5052 eV per atom
* SG: No. 216

***

# 2
Material: KTeAs
Method: DFT, GGA-PBE
State: relaxed

Geometry as POSCAR:
```
KTeAs
1.0
-0.051 -4.245 4.906
5.063 -1.073 3.414
-3.536 2.306 6.249
K As Te
2 2 2
Cartesian
3.638 -2.127 6.777 K
-2.161 -0.885 7.792 K
0.653 0.652 9.151 As
0.824 -3.664 5.417 As
-0.689 -2.610 10.604 Te
2.166 -0.401 3.965 Te
```

Computed properties:
* E: -3.45 eV/atom
* formation energy without anion corrections: -483 meV/atom
* E above lowest polymorph: 0.0 meV per atom
* SG: No. 12

***

# 3
Material: RePd
Method: DFT, GGA-PBE
State: relaxed

Geometry as POSCAR:
```
RePd
1.0
10.633 0.000 0.000
0.000 10.633 0.000
0.000 0.000 2.637
Re Pd
8 8
Cartesian
2.973 1.570 0.000 Re
7.660 9.062 0.000 Re
9.062 2.973 0.000 Re
1.570 7.660 0.000 Re
8.289 6.886 1.319 Re
2.343 3.746 1.319 Re
3.746 8.289 1.319 Re
6.886 2.343 1.319 Re
5.810 7.227 0.000 Pd
4.823 3.405 0.000 Pd
3.405 5.810 0.000 Pd
7.227 4.823 0.000 Pd
0.493 1.911 1.319 Pd
10.139 8.722 1.319 Pd
8.722 0.493 1.319 Pd
1.911 10.139 1.319 Pd
```

Computed properties:
* E: -8.08 eV/atom
* E above lowest polymorph: 678.9 meV per atom
* E_form: 0.7426 eV per atom
* SG: No. 87

***

# 4
Material: CdFeMo2
Method: DFT, GGA-PBE
State: relaxed

Geometry as POSCAR:
```
CdFeMo2
1.0
-1.541 2.001 -1.126
-1.545 -1.913 -1.265
-4.937 -0.221 6.361
Cd Fe Mo
1 1 2
Cartesian
-2.777 -0.011 0.394 Cd
-5.246 -0.122 3.575 Fe
-4.741 -0.212 6.109 Mo
-2.664 -0.119 3.433 Mo
```

Computed properties:
* E: -7.46 eV/atom
* E_form: 0.2980 eV per atom
* SG: No. 65

***

# 5
Material: Mg2PbBr
Method: DFT, GGA-PBE
State: relaxed

Geometry as POSCAR:
```
Mg2PbBr
1.0
-2.394 2.854 4.725
-5.076 2.027 2.516
-0.641 -4.440 2.441
Br Mg Pb
1 2 1
Cartesian
-1.851 0.683 1.992 Br
-0.138 -0.434 0.330 Mg
-6.122 0.706 7.168 Mg
-4.055 -0.294 5.033 Pb
```

Computed properties:
* E: -2.51 eV/atom
* formation energy without anion corrections: -364 meV/atom
* E above lowest polymorph: 59.1 meV per atom
* SG: No. 8

***

# 6
Material: K2MgW
Method: DFT, GGA-PBE
State: relaxed

Geometry as POSCAR:
```
K2MgW
1.0
-5.066 7.152 4.298
-6.609 -6.509 3.041
-4.211 -0.104 6.294
K Mg W
4 2 2
Cartesian
-5.087 3.689 4.675 K
-5.775 -3.259 3.976 K
-7.483 0.217 7.448 K
-13.429 0.431 11.167 K
-5.838 0.321 3.669 Mg
-8.329 -3.146 6.502 Mg
0.000 0.000 0.000 W
-7.558 3.685 7.131 W
```

Computed properties:
* E: -2.58 eV/atom
* E_form: 1.6043 eV per atom
* SG: No. 122

***

# 7
Material: Sr7ZnN2
Method: DFT, GGA-PBE
State: relaxed

Geometry as POSCAR:
```
Sr7ZnN2
1.0
-3.776 0.347 1.630
0.327 -10.297 2.950
3.093 8.790 5.293
Sr Zn N
7 1 2
Cartesian
1.148 -4.632 3.646 Sr
2.272 3.125 4.598 Sr
-0.815 2.109 2.889 Sr
0.459 -3.269 6.985 Sr
-1.471 -2.419 2.334 Sr
1.115 1.259 7.540 Sr
-0.178 -0.580 4.937 Sr
0.000 0.000 0.000 Zn
-0.537 -3.058 4.633 N
0.181 1.897 5.241 N
```

Computed properties:
* E: -3.18 eV/atom
* formation energy without anion corrections: -213 meV/atom
* SG: No. 65

***

# 8
Material: InSiMo2
Method: DFT, GGA-PBE
State: relaxed

Geometry as POSCAR:
```
InSiMo2
1.0
-2.133 0.968 -2.232
-2.396 -1.348 1.705
-0.835 5.515 3.190
In Mo Si
1 2 1
Cartesian
-2.889 3.940 2.125 In
-0.027 0.181 0.104 Mo
-2.486 1.278 0.586 Mo
-0.377 2.494 1.443 Si
```

Computed properties:
* E: -7.42 eV/atom
* formation energy without anion corrections: 39 meV/atom
* E above lowest polymorph: 0.0 meV per atom
* SG: No. 99